Al3Sb after structural relaxation, computed with PBE-GGA.

Unit cell a=10.3818 b=2.9932 c=5.2744 alpha=90.00 beta=103.22 gamma=90.00
Last column: nearest neighbours and their distance in Å.
Space group C2/m (No. 12)
One atom of each set of equivalent atoms:
Al1 0.0000 0.0000 0.0000 (multiplicity 2)  8 Al 2.91-3.23, 4 Sb 3.03
Al2 0.2377 0.5000 0.2332 (multiplicity 4)  9 Al 2.91-3.23, 3 Sb 3.11-3.14
Sb1 0.0000 0.5000 0.5000 (multiplicity 2)  2 Sb 2.99, 10 Al 3.03-3.14

Results
* density: 4.22 g cm⁻³
* electronic total energy: -29.2 eV per cell
* V: 19.94 A^3/atom
* formation energy (no corrections): 0.184 eV per atom